[1]
VASP calculation (PBE) on a relaxed structure of Ca4As2H.

Output
**Energy above the most stable polymorph in this dataset**: 130.5 meV per atom

Cell lengths 11.884, 4.101, 7.977 Å; angles 90.00, 118.05, 90.00 degrees
Space group C2/m (No. 12)
Inequivalent atoms, fractional coordinates:
Ca 0.080 0.000 0.380 [4 per cell]
Ca 0.161 0.500 0.068 [4 per cell]
As 0.162 0.500 0.696 [4 per cell]
H 0.000 0.000 0.000 [2 per cell]

[2]
VASP calculation (PBE) on a relaxed structure of Ce2Zn3Ag.

Output
**Energy relative to the elements**: -0.26 eV per atom

Cell lengths 3.256, 4.728, 8.183 Å; angles 90.00, 90.00, 90.00 degrees
Space group Pmm2 (No. 25)
Inequivalent atoms, fractional coordinates:
Ce 0.000 0.000 0.000 [1 per cell]
Ce 0.000 0.500 0.491 [1 per cell]
Zn 0.500 0.000 0.330 [1 per cell]
Zn 0.500 0.000 0.658 [1 per cell]
Zn 0.500 0.500 0.165 [1 per cell]
Ag 0.500 0.500 0.829 [1 per cell]

[3]
VASP calculation (PBE) on a relaxed structure of K4Ho6F19.

Output
**Energy relative to the elements, uncorrected**: -80.95 kcal/mol of atoms

Cell lengths 11.049, 11.049, 11.049 Å; angles 90.00, 90.00, 90.00 degrees
Space group I23 (No. 197)
Inequivalent atoms, fractional coordinates:
K 0.132 0.132 0.132 [8 per cell]
Ho 0.000 0.162 0.500 [12 per cell]
F 0.000 0.000 0.000 [2 per cell]
F 0.000 0.000 0.379 [12 per cell]
F 0.003 0.302 0.360 [24 per cell]

[4]
VASP calculation (PBE) on a relaxed structure of BeReHg2.

Output
**Energy relative to the elements**: 0.81 eV per atom

Cell lengths 2.860, 5.221, 9.179 Å; angles 90.00, 90.00, 90.00 degrees
Space group Cmmm (No. 65)
Inequivalent atoms, fractional coordinates:
Be 0.000 0.000 0.000 [2 per cell]
Re 0.000 0.000 0.500 [2 per cell]
Hg 0.000 0.500 0.226 [4 per cell]

[5]
VASP calculation (PBE) on a relaxed structure of Fe2CoRh3.

Output
**Energy relative to the elements**: 0.18 eV per atom

Cell lengths 7.698, 7.698, 11.163 Å; angles 90.00, 90.00, 90.00 degrees
Space group I4_1/amd (No. 141, origin choice 2)
Inequivalent atoms, fractional coordinates:
Fe 0.000 0.064 0.287 [16 per cell]
Co 0.000 0.250 0.063 [8 per cell]
Rh 0.000 0.000 0.500 [8 per cell]
Rh 0.185 0.065 0.875 [16 per cell]

[6]
VASP calculation (PBE) on a relaxed structure of GdBi2Pb.

Output
**Energy relative to the elements**: -0.40 eV per atom
**Energy above the most stable polymorph in this dataset**: 0.0 meV per atom

Cell lengths 5.175, 5.175, 4.531 Å; angles 90.00, 90.00, 90.00 degrees
Space group P4/mmm (No. 123)
Inequivalent atoms, fractional coordinates:
Gd 0.000 0.000 0.000 [1 per cell]
Bi 0.000 0.500 0.500 [2 per cell]
Pb 0.500 0.500 0.000 [1 per cell]

[7]
VASP calculation (PBE) on a relaxed structure of Be2SeCl.

Output
**Energy relative to the elements, uncorrected**: -4.37 kcal/mol of atoms
**Energy above the most stable polymorph in this dataset**: 219.4 meV per atom

Cell lengths 5.145, 5.145, 10.529 Å; angles 90.00, 90.00, 90.00 degrees
Space group I-42d (No. 122)
Inequivalent atoms, fractional coordinates:
Be 0.230 0.250 0.125 [8 per cell]
Se 0.000 0.000 0.000 [4 per cell]
Cl 0.000 0.000 0.500 [4 per cell]

[8]
VASP calculation (PBE) on a relaxed structure of Cu6AgAu8.

Output
**Energy relative to the elements**: 0.05 eV per atom

Cell lengths 7.4545, 7.4545, 15.9253 Å; angles 90.00, 90.00, 120.00 degrees
Space group R-3 (No. 148, hexagonal axes)
Inequivalent atoms, fractional coordinates:
Cu 0.0020 0.6975 0.2867 [18 per cell]
Ag 0.0000 0.0000 0.0000 [3 per cell]
Au 0.0000 0.0000 0.3728 [6 per cell]
Au 0.0089 0.6987 0.1202 [18 per cell]

[9]
VASP calculation (PBE) on a relaxed structure of LiTbBe2H8.

Output
**Final energy**: -3.71 eV/atom

Cell lengths 4.3592, 4.3592, 6.4356 Å; angles 90.00, 90.00, 120.00 degrees
Space group P-3 (No. 147)
Inequivalent atoms, fractional coordinates:
Li 0.0000 0.0000 0.0000 [1 per cell]
Tb 0.0000 0.0000 0.5000 [1 per cell]
Be 0.3333 0.6667 0.2649 [2 per cell]
H 0.0651 0.3234 0.2142 [6 per cell]
H 0.3333 0.6667 0.4945 [2 per cell]

[10]
VASP calculation (PBE) on a relaxed structure of SrTc2Ir.

Output
**Energy relative to the elements**: 0.77 eV per atom
**Energy above the most stable polymorph in this dataset**: 390.7 meV per atom

Cell lengths 2.8437, 2.8437, 30.0722 Å; angles 90.00, 90.00, 120.00 degrees
Space group R-3m (No. 166, hexagonal axes)
Inequivalent atoms, fractional coordinates:
Sr 0.0000 0.0000 0.0000 [3 per cell]
Tc 0.0000 0.0000 0.2381 [6 per cell]
Ir 0.0000 0.0000 0.5000 [3 per cell]

[11]
VASP calculation (PBE) on a relaxed structure of YEr4Sc7.

Output
**Energy relative to the elements**: 0.28 eV per atom

Cell lengths 11.315, 5.525, 11.964 Å; angles 90.00, 115.48, 90.00 degrees
Space group C2/m (No. 12)
Inequivalent atoms, fractional coordinates:
Y 0.000 0.000 0.000 [2 per cell]
Er 0.093 0.500 0.297 [4 per cell]
Er 0.133 0.000 0.774 [4 per cell]
Sc 0.000 0.500 0.000 [2 per cell]
Sc 0.128 0.000 0.483 [4 per cell]
Sc 0.154 0.500 0.620 [4 per cell]
Sc 0.206 0.500 0.916 [4 per cell]

[12]
VASP calculation (PBE) on a relaxed structure of Y3Ho2TmSb6.

Output
**Energy relative to the elements, uncorrected**: -26.10 kcal/mol of atoms

Cell lengths 7.578, 13.126, 7.574 Å; angles 90.00, 109.46, 90.00 degrees
Space group C2/m (No. 12)
Inequivalent atoms, fractional coordinates:
Y 0.000 0.000 0.000 [2 per cell]
Y 0.000 0.333 0.000 [4 per cell]
Ho 0.000 0.166 0.500 [4 per cell]
Tm 0.000 0.500 0.500 [2 per cell]
Sb 0.248 0.334 0.747 [8 per cell]
Sb 0.249 0.500 0.252 [4 per cell]

Number 1: D(E_F) 0.3082 states/eV per atom. Number 2: D(E_F) 1.8452 states/eV per atom. Number 3: D(E_F) 0.1977 states/eV per atom. Number 4: D(E_F) 0.6905 states/eV per atom. Number 5: D(E_F) 1.1848 states/eV per atom. Number 6: D(E_F) 0.5886 states/eV per atom. Number 7: D(E_F) 0.7818 states/eV per atom. Number 8: D(E_F) 0.3265 states/eV per atom. Number 9: D(E_F) 0.0000 states/eV per atom. Number 10: D(E_F) 1.0443 states/eV per atom. Number 11: D(E_F) 1.8608 states/eV per atom. Number 12: D(E_F) 0.1815 states/eV per atom.